This record from Alexandria via LeMat-Bulk describes CrMo2Se after structural relaxation. The functional is PBE.

The space group is R-3m (No. 166, hexagonal axes) and the conventional cell measures 3.0208, 3.0208 and 23.4885 Å, with angles of 90.00, 90.00 and 120.00 degrees. The asymmetric unit holds Cr at (0.0000, 0.0000, 0.0000), Mo at (0.0000, 0.0000, 0.2548) and Se at (0.0000, 0.0000, 0.5000).

The calculation puts the raw formation energy at 1.4 eV per formula unit. The density of states at the Fermi level comes out at 14.32 states/eV/cell. The calculation puts the total energy at -8.330 eV/atom.